1.
Material: BMoAs
Method: DFT, PBE
State: relaxed

Calculated values
* space group: Cmcm
* energy of formation from the pure elements: -0.208 eV per atom
* volume: 14.1 A^3/atom

extended XYZ file:
```
6
Lattice="3.084 0.000 0.000 0.000 3.169 0.000 0.000 1.584 8.652" Properties=species:S:1:pos:R:3 pbc="T T T"
Mo 0.771 3.169 1.259
Mo 2.313 1.584 7.393
B 2.313 1.584 0.444
B 0.771 3.169 8.209
As 2.313 1.584 2.880
As 0.771 3.169 5.772
```

2.
Material: La2Mg17
Method: DFT, PBE
State: relaxed

Calculated values
* space group: P6_3/mmc
* energy of formation from the pure elements: -0.078 eV per atom
* volume: 24.9 A^3/atom

extended XYZ file:
```
38
Lattice="-6.530 5.091 6.229 -3.698 -5.931 -7.648 -0.217 -7.977 6.292" Properties=species:S:1:pos:R:3 pbc="T T T"
Mg -5.222 -4.409 2.436
Mg -7.621 -5.693 1.083
Mg -7.678 -3.023 8.212
Mg -5.114 -0.420 -0.710
Mg -1.958 -6.954 -0.678
Mg -3.265 2.545 3.114
Mg -8.813 -4.844 5.864
Mg -3.374 -1.443 6.260
Mg -6.897 -6.337 4.037
Mg -3.757 -6.079 4.472
Mg -6.688 -2.739 0.400
Mg -3.548 -2.481 0.836
Mg -4.676 -2.776 8.629
Mg -4.729 -5.447 -0.507
Mg -7.720 -9.334 3.954
Mg -5.716 -3.371 5.379
Mg -2.767 -5.795 -3.340
Mg -6.174 -0.514 6.985
Mg -4.370 -11.945 0.759
Mg -2.672 -4.339 6.717
Mg -8.071 -3.556 3.061
Mg -2.824 -3.125 3.789
Mg -1.849 -2.966 -3.824
Mg -1.632 -3.974 -0.992
Mg -2.725 0.516 0.918
Mg -5.781 -5.762 7.265
Mg -4.664 -3.056 -2.392
Mg -4.271 -8.304 -2.112
Mg -6.075 3.127 4.113
Mg -5.769 -6.042 -3.757
Mg -2.473 -8.903 4.683
Mg -7.773 -4.479 -1.844
Mg -7.972 0.085 0.190
Mg -2.374 -5.262 1.811
La -6.693 -0.892 10.947
La -5.640 -0.578 3.176
La -3.752 -7.926 -6.075
La -4.805 -8.240 1.696
```

3.
Material: U4InSe8
Method: DFT, PBE
State: relaxed

Calculated values
* space group: R-3m
* E_form (uncorrected): -1050 meV per atom
* volume: 35.1 A^3/atom

extended XYZ file:
```
13
Lattice="7.496 0.000 3.419 2.969 6.883 3.419 0.384 0.253 9.086" Properties=species:S:1:pos:R:3 pbc="T T T"
U 3.748 0.000 1.709
U 5.233 3.442 3.419
U 1.484 3.442 1.709
U 0.000 0.000 0.000
Se 4.345 5.318 5.375
Se 2.871 1.888 3.633
Se 7.978 5.248 12.290
Se 8.085 5.318 7.081
Se 6.504 1.818 10.548
Se 2.764 1.818 8.842
Se 4.245 5.252 10.548
Se 6.604 1.884 5.375
In 5.425 3.568 7.961
```

4.
Material: Ce2CuSi3Pt12
Method: DFT, PBE
State: relaxed

Calculated values
* space group: R-3m
* E_form (uncorrected): -505 meV per atom
* volume: 19.3 A^3/atom

extended XYZ file:
```
18
Lattice="7.587 -0.333 -0.236 3.457 6.761 -0.236 3.457 2.012 6.459" Properties=species:S:1:pos:R:3 pbc="T T T"
Pt 3.638 2.118 3.979
Pt 7.058 6.638 2.028
Pt 10.864 6.323 2.008
Pt 5.244 5.582 3.959
Pt 7.444 1.803 3.959
Pt 8.831 7.478 5.304
Pt 5.671 0.963 0.683
Pt 7.058 4.108 5.594
Pt 3.638 4.455 0.683
Pt 10.864 3.986 5.304
Pt 9.257 2.859 2.028
Pt 7.444 4.333 0.393
Ce 5.526 3.216 2.281
Ce 8.976 5.225 3.706
Si 1.729 1.006 3.230
Si 1.729 3.381 -0.118
Si 3.793 -0.166 -0.118
Cu 0.000 0.000 0.000
```